(1)
A plane-wave DFT calculation with PBE-GGA was carried out for crystalline Na3BeC at its relaxed geometry.

Computed properties:
* D(E_F): 0.39 states/eV/atom
* DFT total energy: -2.137 eV/atom
* excess energy over the best structure of this formula in the dataset: 0 kJ/mol of formula units

a b c (Å): 4.913 4.913 4.913
angles (deg): 90.00 90.00 90.00
Space group Pm-3m (No. 221)
Inequivalent atoms, fractional coordinates:
Na 0.000 0.000 0.500 (multiplicity 3)
Be 0.500 0.500 0.500 (multiplicity 1)
C 0.000 0.000 0.000 (multiplicity 1)



(2)
A plane-wave DFT calculation with PBE-GGA was carried out for crystalline HfTl2Sb2 at its relaxed geometry.

Computed properties:
* raw formation energy: 0.10 eV per atom
* D(E_F): 0.57 states/eV/atom
* DFT total energy: -4.483 eV/atom

a b c (Å): 7.536 7.536 5.114
angles (deg): 90.00 90.00 90.00
Space group P4/mbm (No. 127)
Inequivalent atoms, fractional coordinates:
Hf 0.000 0.000 0.000 (multiplicity 2)
Tl 0.178 0.322 0.500 (multiplicity 4)
Sb 0.143 0.643 0.000 (multiplicity 4)



(3)
A plane-wave DFT calculation with PBE-GGA was carried out for crystalline NiOsBr at its relaxed geometry.

Computed properties:
* raw formation energy: 0.97 eV per atom
* D(E_F): 1.30 states/eV/atom
* DFT total energy: -5.259 eV/atom
* excess energy over the best structure of this formula in the dataset: 35 kJ/mol of formula units

a b c (Å): 2.944 2.944 11.989
angles (deg): 90.00 90.00 90.00
Space group I4mm (No. 107)
Inequivalent atoms, fractional coordinates:
Ni 0.000 0.000 0.000 (multiplicity 2)
Os 0.000 0.000 0.615 (multiplicity 2)
Br 0.000 0.000 0.272 (multiplicity 2)



(4)
A plane-wave DFT calculation with PBE-GGA was carried out for crystalline BC3 at its relaxed geometry.

Computed properties:
* D(E_F): 0.17 states/eV/atom
* DFT total energy: -8.322 eV/atom
* excess energy over the best structure of this formula in the dataset: 9 kJ/mol of formula units

a b c (Å): 2.512 2.528 11.681
angles (deg): 90.00 90.00 90.00
Space group Pmm2 (No. 25)
Inequivalent atoms, fractional coordinates:
B 0.000 0.000 0.000 (multiplicity 1)
B 0.000 0.500 0.434 (multiplicity 1)
B 0.500 0.500 0.177 (multiplicity 1)
C 0.000 0.000 0.341 (multiplicity 1)
C 0.000 0.000 0.678 (multiplicity 1)
C 0.000 0.500 0.085 (multiplicity 1)
C 0.000 0.500 0.753 (multiplicity 1)
C 0.500 0.000 0.271 (multiplicity 1)
C 0.500 0.000 0.598 (multiplicity 1)
C 0.500 0.000 0.905 (multiplicity 1)
C 0.500 0.500 0.525 (multiplicity 1)
C 0.500 0.500 0.832 (multiplicity 1)



> What is the D(E_F) in the first record?

0.39 states/eV/atom



> Which of these has the lowest D(E_F)?

BC3



> Which value of DFT total energy does entry 3 give?

-5.259 eV/atom



> Look up the DFT total energy of the fourth one.

-8.322 eV/atom